Material: RbMgSn
Method: DFT, GGA-PBE
State: optimized geometry Values from VASP.

Geometry as Quantum ESPRESSO input:
```
&SYSTEM
  ibrav = 0, nat = 6, ntyp = 3
/
ATOMIC_SPECIES
Sn 118.71 Sn.upf
Mg 24.30 Mg.upf
Rb 85.47 Rb.upf
ATOMIC_POSITIONS angstrom
Sn 1.818 -2.284 -3.076
Sn -1.293 -10.080 2.141
Mg -6.600 -9.458 2.485
Mg -4.129 -11.410 2.296
Rb -1.712 -8.131 -1.249
Rb -0.088 -3.305 0.050
CELL_PARAMETERS angstrom
-3.858 0.442 -2.220
3.947 -2.034 -2.775
-3.436 -10.844 5.170
```

Total moment   0.00 Bohr magnetons per cell
ΔE_f   -158 meV/atom